[1]
Computed, not measured: a geometry-optimized PrCuPd3 structure at the PBE-GGA level of DFT.

Space-group type = No. 63
Mass density = 7974 kg/m3
Offset from the most stable computed form = 2.73 eV/f.u.
Size of the total moment = 0.00 μB/cell

a b c (Å): 4.977 7.178 7.178
angles (deg): 121.72 90.00 90.00
Fractional coordinates of all 10 atoms:
Pr1 0.750 0.604 0.396
Pr2 0.250 0.396 0.604
Cu1 0.750 0.826 0.174
Cu2 0.250 0.174 0.826
Pd1 0.750 0.401 0.960
Pd2 0.750 0.040 0.599
Pd3 0.250 0.960 0.401
Pd4 0.250 0.599 0.040
Pd5 0.000 0.000 0.000
Pd6 0.500 0.000 0.000

[2]
Computed, not measured: a geometry-optimized Cs2KPbF8 structure at the PBE-GGA level of DFT.

Space-group type = No. 10
Mass density = 4057 kg/m3
Size of the total moment = 1.18 μB/cell
Formation energy from raw total energies = -2.2698 eV per atom

a b c (Å): 5.236 6.256 8.335
angles (deg): 89.99 90.00 95.43
Last column: magnetic moment on the atom in μB.
Fractional coordinates of all 12 atoms:
Cs1 0.500 0.500 0.756  0.01
Cs2 0.500 0.500 0.244  0.01
K1 0.000 0.000 0.500  0.00
Pb1 0.000 0.000 0.000  0.00
F1 0.077 0.788 0.190  0.01
F2 0.635 0.826 0.000  0.05
F3 0.923 0.212 0.190  0.01
F4 0.923 0.212 0.810  0.01
F5 0.365 0.174 0.000  0.05
F6 0.077 0.788 0.810  0.01
F7 0.497 0.840 0.500  0.46
F8 0.503 0.160 0.500  0.46

[3]
Computed, not measured: a geometry-optimized HoFePH structure at the PBE-GGA level of DFT.

Space-group type = No. 129
Mass density = 8110 kg/m3
Size of the total moment = 0.00 μB/cell
Final energy = -6.4040 eV/atom

a b c (Å): 3.760 3.760 7.320
angles (deg): 90.00 90.00 90.00
Fractional coordinates of all 8 atoms:
Ho1 0.500 0.000 0.673
Ho2 0.000 0.500 0.327
Fe1 0.500 0.500 0.000
Fe2 0.000 0.000 0.000
P1 0.000 0.500 0.841
P2 0.500 0.000 0.159
H1 0.000 0.000 0.500
H2 0.500 0.500 0.500

[4]
Computed, not measured: a geometry-optimized CrTcW3 structure at the PBE-GGA level of DFT.

Space-group type = No. 221
Mass density = 11585 kg/m3
Offset from the most stable computed form = 9.44 eV/f.u.
Size of the total moment = 0.00 μB/cell

a b c (Å): 4.650 4.650 4.650
angles (deg): 90.00 90.00 90.00
Fractional coordinates of all 5 atoms:
Cr1 0.500 0.500 0.500
Tc1 0.000 0.000 0.000
W1 0.000 0.500 0.000
W2 0.000 0.000 0.500
W3 0.500 0.000 0.000

Question: Look up the mass density of the third one.
Answer: 8110 kg/m3

Question: mass density of number 2 (Cs2KPbF8)?
Answer: 4057 kg/m3